Record 1
Entry from the Alexandria database: a geometry-optimized Rb2LaCrI6 structure (PBE-GGA).

Results
The total energy comes out at -3.694 eV per atom.

Unit cell a=8.666 b=8.666 c=8.661 alpha=59.98 beta=59.98 gamma=90.00
Positions (direct):
I 0.258 0.258 0.484
I 0.742 0.742 0.516
I 0.258 0.258 0.000
I 0.742 0.742 0.000
I 0.742 0.258 0.000
I 0.258 0.742 0.000
Cr 0.500 0.500 0.000
Rb 0.750 0.250 0.500
Rb 0.250 0.750 0.500
La 0.000 0.000 0.000

***

Record 2
Entry from the Alexandria database: a geometry-optimized LaCrSb2I structure (PBE-GGA).

Results
The total energy comes out at -5.053 eV per atom.

Unit cell a=5.179 b=5.179 c=5.556 alpha=90.00 beta=90.00 gamma=90.00
Positions (direct):
I 0.000 0.000 0.500
Sb 0.000 0.500 0.000
Sb 0.500 0.000 0.000
Cr 0.000 0.000 0.000
La 0.500 0.500 0.500

***

Record 3
Entry from the Alexandria database: a geometry-optimized SrLa2CrI structure (PBE-GGA).

Results
The total energy comes out at -3.468 eV per atom.

Unit cell a=6.193 b=5.923 c=6.193 alpha=90.00 beta=90.00 gamma=90.00
Positions (direct):
I 0.000 0.500 0.000
Sr 0.000 0.000 0.000
Cr 0.500 0.500 0.500
La 0.000 0.000 0.500
La 0.500 0.000 0.000

***

no.,ΔE_f (raw) (kcal/mol of atoms),spin magnetization (μB/cell)
1,-25.71,5.0
2,-4.24,3.2
3,24.77,4.7